No. 1
An optimized crystal structure of LaTa2Ru. Source: Alexandria, functional PBE-GGA.

Unit cell a=3.168 b=3.168 c=8.219 alpha=90.00 beta=90.00 gamma=90.00
Sites, in units of the cell vectors:
La (0.000, 0.000, 0.521)
Ru (0.500, 0.500, 0.802)
Ta (0.000, 0.000, 0.974)
Ta (0.500, 0.500, 0.203)

Computed properties:
DOS at the Fermi energy: 3.64 states/eV/cell
E: -9.44 eV/atom
Formation energy from the elements: 35 meV/atom

---

No. 2
An optimized crystal structure of LaTaRu2. Source: Alexandria, functional PBE-GGA.

Unit cell a=4.671 b=4.671 c=4.671 alpha=60.00 beta=60.00 gamma=60.00
Sites, in units of the cell vectors:
La (0.500, 0.500, 0.500)
Ru (0.000, 0.000, 0.000)
Ru (0.250, 0.250, 0.250)
Ta (0.750, 0.750, 0.750)

Computed properties:
DOS at the Fermi energy: 4.17 states/eV/cell
E: -8.51 eV/atom
Formation energy from the elements: 326 meV/atom

---

no.,M_tot (μB per formula unit)
1,0.000
2,0.611